[1]
Computed, not measured: AlVI2 after structural relaxation at the PBE level of DFT.

Computed properties:
Spin magnetization: 3.952 μB/cell
Formation energy from raw total energies: 1.88 eV per formula unit
Energy: -14.08 eV for the cell shown

Structure (extended XYZ):
```
4
Lattice="0.0000 3.7694 3.7694 3.7694 0.0000 3.7694 3.7694 3.7694 0.0000" Properties=species:S:1:pos:R:3 pbc="T T T"
Al 0.0000 0.0000 0.0000
V 3.7694 3.7694 3.7694
I 1.8847 1.8847 1.8847
I 5.6541 5.6541 5.6541
```



[2]
Computed, not measured: AlVI6 after structural relaxation at the PBE level of DFT.

Computed properties:
Spin magnetization: 2.000 μB/cell
Formation energy from raw total energies: -4.04 eV per formula unit
Energy: -26.20 eV for the cell shown

Structure (extended XYZ):
```
8
Lattice="3.8757 -6.6443 0.0000 3.8757 6.6443 0.0000 -0.1950 0.0000 6.7733" Properties=species:S:1:pos:R:3 pbc="T T T"
Al 0.0000 0.0000 0.0000
V -0.0975 0.0000 3.3867
I 2.6327 4.7441 5.0516
I 2.0467 0.0000 5.1466
I 4.9237 4.7441 1.7218
I 2.6327 -4.7441 5.0516
I 5.5098 0.0000 1.6267
I 4.9237 -4.7441 1.7218
```



[3]
Computed, not measured: AlVI3 after structural relaxation at the PBE level of DFT.

Computed properties:
Spin magnetization: 3.966 μB/cell
Formation energy from raw total energies: 2.11 eV per formula unit
Energy: -15.40 eV for the cell shown

Structure (extended XYZ):
```
5
Lattice="5.6100 0.0000 0.0000 0.0000 5.6100 0.0000 0.0000 0.0000 5.6100" Properties=species:S:1:pos:R:3 pbc="T T T"
Al 0.0000 0.0000 0.0000
V 2.8050 2.8050 2.8050
I 0.0000 0.0000 2.8050
I 0.0000 2.8050 0.0000
I 2.8050 0.0000 0.0000
```



[4]
Computed, not measured: AlV3I after structural relaxation at the PBE level of DFT.

Computed properties:
Spin magnetization: 8.494 μB/cell
Formation energy from raw total energies: 6.16 eV per formula unit
Energy: -26.49 eV for the cell shown

Structure (extended XYZ):
```
5
Lattice="4.8309 0.0000 0.0000 0.0000 4.8309 0.0000 0.0000 0.0000 4.8309" Properties=species:S:1:pos:R:3 pbc="T T T"
Al 0.0000 0.0000 0.0000
V 0.0000 0.0000 2.4155
V 0.0000 2.4155 0.0000
V 2.4155 0.0000 0.0000
I 2.4155 2.4155 2.4155
```



[5]
Computed, not measured: AlV2I after structural relaxation at the PBE level of DFT.

Computed properties:
Spin magnetization: 0.000 μB/cell
Formation energy from raw total energies: 3.07 eV per formula unit
Energy: -40.93 eV for the cell shown

Structure (extended XYZ):
```
8
Lattice="-2.0004 2.0004 9.2056 2.0004 -2.0004 9.2056 2.0004 2.0004 -9.2056" Properties=species:S:1:pos:R:3 pbc="T T T"
Al 0.0000 0.0000 0.0000
Al 0.0000 2.0004 4.6028
V 3.0005 0.9007 -2.3014
V 0.9007 1.0002 2.3014
V -1.0002 1.0997 6.9042
V 1.0997 1.0002 11.5069
I 2.0004 0.0000 4.6028
I 0.0000 0.0000 9.2056
```



[6]
Computed, not measured: AlVI3 after structural relaxation at the PBE level of DFT.

Computed properties:
Spin magnetization: 3.000 μB/cell
Formation energy from raw total energies: -0.02 eV per formula unit
Energy: -17.53 eV for the cell shown

Structure (extended XYZ):
```
5
Lattice="5.6168 0.0000 0.0000 0.0000 5.6168 0.0000 0.0000 0.0000 5.6168" Properties=species:S:1:pos:R:3 pbc="T T T"
Al 0.0000 0.0000 0.0000
V 2.8084 2.8084 2.8084
I 0.0000 2.8084 2.8084
I 2.8084 0.0000 2.8084
I 2.8084 2.8084 0.0000
```